No. 1
Below is a relaxed structure of Li4V2SiGeO10, with properties calculated at the PBE+U level.

a = 4.567 Å, b = 9.208 Å, c = 9.217 Å
α = 90.00°, β = 90.00°, γ = 90.00°
Site moments in Bohr magnetons follow the coordinates.
Fractional positions:
Li 0.000 0.000 0.000  0.00
Li 0.000 0.500 0.000  0.00
Li 0.000 0.750 0.256  0.00
Li 0.000 0.000 0.500  0.00
Li 0.000 0.250 0.256  0.00
Li 0.000 0.500 0.500  0.00
Li 0.000 0.750 0.744  0.00
Li 0.000 0.250 0.744  0.00
V 0.589 0.000 0.255  1.04
V 0.411 0.500 0.255  1.04
V 0.411 0.000 0.745  1.04
V 0.589 0.500 0.745  1.04
Si 0.500 0.750 0.500  0.00
Si 0.500 0.250 0.500  0.00
Ge 0.500 0.750 0.000  0.00
Ge 0.500 0.250 0.000  0.00
O 0.221 0.000 0.254  -0.09
O 0.733 0.857 0.110  0.00
O 0.267 0.643 0.110  0.00
O 0.716 0.853 0.400  0.00
O 0.267 0.357 0.110  0.00
O 0.779 0.500 0.254  -0.09
O 0.284 0.647 0.400  0.00
O 0.284 0.853 0.600  0.00
O 0.779 0.000 0.746  -0.09
O 0.733 0.143 0.110  0.00
O 0.716 0.647 0.600  0.00
O 0.284 0.353 0.400  0.00
O 0.267 0.857 0.890  0.00
O 0.716 0.147 0.400  0.00
O 0.716 0.353 0.600  0.00
O 0.221 0.500 0.746  -0.09
O 0.733 0.643 0.890  0.00
O 0.284 0.147 0.600  0.00
O 0.733 0.357 0.890  0.00
O 0.267 0.143 0.890  0.00

Total DFT energy (no corrections), Ha/atom: -0.2477
Space-group type: Pccm
D(E_F), states/eV/atom: 0.000



No. 2
Below is a relaxed structure of Li2V2SiGeO10, with properties calculated at the PBE+U level.

a = 6.343 Å, b = 4.779 Å, c = 6.491 Å
α = 85.78°, β = 90.00°, γ = 90.00°
Fractional positions:
Li 0.258 0.001 0.507
Li 0.742 0.001 0.507
V 0.000 0.394 0.746
V 0.500 0.605 0.248
Si 0.500 0.483 0.745
Ge 0.000 0.518 0.250
O 0.500 0.629 0.967
O 0.000 0.735 0.696
O 0.712 0.285 0.731
O 0.288 0.285 0.731
O 0.500 0.726 0.553
O 0.000 0.259 0.459
O 0.224 0.738 0.264
O 0.776 0.738 0.264
O 0.500 0.265 0.309
O 0.000 0.336 0.024

Total DFT energy (no corrections), Ha/atom: -0.2550
Polymorph energy (0 for the lowest one), eV/f.u.: 0.000
Space-group type: Pm
D(E_F), states/eV/atom: 0.000



No. 3
Below is a relaxed structure of Li2V2SiGeO10, with properties calculated at the PBE+U level.

a = 6.408 Å, b = 6.408 Å, c = 4.709 Å
α = 90.00°, β = 90.00°, γ = 90.52°
Fractional positions:
Li 0.239 0.761 0.000
Li 0.761 0.239 0.000
V 0.500 0.000 0.607
V 0.000 0.500 0.393
Si 0.000 0.000 0.500
Ge 0.500 0.500 0.500
O 0.005 0.791 0.296
O 0.209 0.995 0.704
O 0.500 0.000 0.261
O 0.791 0.005 0.704
O 0.995 0.209 0.296
O 0.508 0.281 0.728
O 0.719 0.492 0.272
O 0.281 0.508 0.272
O 0.000 0.500 0.739
O 0.492 0.719 0.728

Total DFT energy (no corrections), Ha/atom: -0.2542
Polymorph energy (0 for the lowest one), eV/f.u.: 0.315
Space-group type: C222
D(E_F), states/eV/atom: 0.000



No. 4
Below is a relaxed structure of Li2V2SiGeO10, with properties calculated at the PBE+U level.

a = 4.701 Å, b = 9.021 Å, c = 9.118 Å
α = 90.00°, β = 90.00°, γ = 90.00°
Fractional positions:
Li 0.000 0.750 0.258
Li 0.000 0.250 0.258
Li 0.000 0.750 0.742
Li 0.000 0.250 0.742
V 0.607 0.000 0.255
V 0.393 0.500 0.255
V 0.393 0.000 0.745
V 0.607 0.500 0.745
Si 0.500 0.750 0.500
Si 0.500 0.250 0.500
Ge 0.500 0.750 0.000
Ge 0.500 0.250 0.000
O 0.260 0.000 0.251
O 0.724 0.855 0.116
O 0.276 0.645 0.116
O 0.707 0.852 0.395
O 0.276 0.355 0.116
O 0.740 0.500 0.251
O 0.293 0.648 0.395
O 0.293 0.852 0.605
O 0.740 0.000 0.749
O 0.724 0.145 0.116
O 0.707 0.648 0.605
O 0.293 0.352 0.395
O 0.276 0.855 0.884
O 0.707 0.148 0.395
O 0.707 0.352 0.605
O 0.260 0.500 0.749
O 0.724 0.645 0.884
O 0.293 0.148 0.605
O 0.724 0.355 0.884
O 0.276 0.145 0.884

Total DFT energy (no corrections), Ha/atom: -0.2543
Polymorph energy (0 for the lowest one), eV/f.u.: 0.300
Space-group type: Pccm
D(E_F), states/eV/atom: 0.000



Number 1: total magnetization 4.0 μB/cell. Number 2: total magnetization 0.0 μB/cell. Number 3: total magnetization 0.0 μB/cell. Number 4: total magnetization 0.0 μB/cell.